DFT (PBE) results for Ag3HPb after structural relaxation.

Values from the calculation:
DOS(E_F): 0.481 states/eV per atom
M_tot: 1.02 μB/cell
offset from the most stable computed form: 787 meV per atom

Cell: 5.455 5.455 5.455 Å, 90.00 90.00 90.00°
Space group Pm-3m (No. 221)
One atom of each set of equivalent atoms:
Ag  0.000  0.000  0.500 [3 per cell]
H  0.500  0.500  0.500 [1 per cell]
Pb  0.000  0.000  0.000 [1 per cell]

=====

DFT (PBE) results for AgHPb2 after structural relaxation.

Values from the calculation:
DOS(E_F): 0.373 states/eV per atom
M_tot: 0.00 μB/cell
offset from the most stable computed form: 22 meV per atom

Cell: 5.473 5.473 13.504 Å, 90.00 90.00 90.00°
Space group I-42d (No. 122)
One atom of each set of equivalent atoms:
Ag  0.000  0.000  0.000 [4 per cell]
H  0.000  0.000  0.500 [4 per cell]
Pb  0.157  0.250  0.625 [8 per cell]

=====

DFT (PBE) results for AgH2Pb after structural relaxation.

Values from the calculation:
DOS(E_F): 0.262 states/eV per atom
M_tot: 0.00 μB/cell
offset from the most stable computed form: 0 meV per atom

Cell: 4.998 4.998 9.905 Å, 90.00 90.00 90.00°
Space group I-42d (No. 122)
One atom of each set of equivalent atoms:
Ag  0.000  0.000  0.000 [4 per cell]
H  0.115  0.250  0.125 [8 per cell]
Pb  0.000  0.000  0.500 [4 per cell]

=====

DFT (PBE) results for Ag3HPb after structural relaxation.

Values from the calculation:
DOS(E_F): 0.255 states/eV per atom
M_tot: 0.00 μB/cell
offset from the most stable computed form: 0 meV per atom

Cell: 4.409 4.409 4.409 Å, 90.00 90.00 90.00°
Space group Pm-3m (No. 221)
One atom of each set of equivalent atoms:
Ag  0.000  0.000  0.500 [3 per cell]
H  0.000  0.000  0.000 [1 per cell]
Pb  0.500  0.500  0.500 [1 per cell]

=====

DFT (PBE) results for AgH3Pb after structural relaxation.

Values from the calculation:
DOS(E_F): 0.182 states/eV per atom
M_tot: 0.00 μB/cell
offset from the most stable computed form: 254 meV per atom

Cell: 4.183 4.183 4.183 Å, 90.00 90.00 90.00°
Space group Pm-3m (No. 221)
One atom of each set of equivalent atoms:
Ag  0.000  0.000  0.000 [1 per cell]
H  0.000  0.500  0.500 [3 per cell]
Pb  0.500  0.500  0.500 [1 per cell]

=====

DFT (PBE) results for AgHPb2 after structural relaxation.

Values from the calculation:
DOS(E_F): 0.316 states/eV per atom
M_tot: 0.00 μB/cell
offset from the most stable computed form: 0 meV per atom

Cell: 6.981 6.981 6.981 Å, 90.00 90.00 90.00°
Space group Fm-3m (No. 225)
One atom of each set of equivalent atoms:
Ag  0.000  0.000  0.000 [4 per cell]
H  0.000  0.000  0.500 [4 per cell]
Pb  0.250  0.250  0.250 [8 per cell]

=====

DFT (PBE) results for AgH3Pd12Pb4 after structural relaxation.

Values from the calculation:
DOS(E_F): 0.522 states/eV per atom
final energy: -4.590 eV/atom
M_tot: 0.00 μB/cell

Cell: 8.646 8.646 8.646 Å, 90.00 90.00 90.00°
Space group Im-3m (No. 229)
One atom of each set of equivalent atoms:
Ag  0.000  0.000  0.000 [2 per cell]
H  0.000  0.000  0.500 [6 per cell]
Pd  0.000  0.000  0.295 [12 per cell]
Pd  0.000  0.250  0.500 [12 per cell]
Pb  0.250  0.250  0.250 [8 per cell]

=====

DFT (PBE) results for AgHPdPb2 after structural relaxation.

Values from the calculation:
DOS(E_F): 0.383 states/eV per atom
M_tot: 0.00 μB/cell
offset from the most stable computed form: 70 meV per atom

Cell: 5.620 5.620 3.336 Å, 90.00 90.00 90.00°
Space group P4/mmm (No. 123)
One atom of each set of equivalent atoms:
Ag  0.000  0.000  0.000 [1 per cell]
H  0.500  0.500  0.000 [1 per cell]
Pd  0.500  0.500  0.500 [1 per cell]
Pb  0.000  0.500  0.500 [2 per cell]

=====

DFT (PBE) results for Ag2HPdPb after structural relaxation.

Values from the calculation:
DOS(E_F): 0.132 states/eV per atom
final energy: -3.514 eV/atom
M_tot: 0.00 μB/cell

Cell: 4.698 4.698 3.704 Å, 90.00 90.00 90.00°
Space group P4/mmm (No. 123)
One atom of each set of equivalent atoms:
Ag  0.000  0.500  0.000 [2 per cell]
H  0.000  0.000  0.000 [1 per cell]
Pd  0.000  0.000  0.500 [1 per cell]
Pb  0.500  0.500  0.500 [1 per cell]

=====

DFT (PBE) results for AgH2Pd9Pb3 after structural relaxation.

Values from the calculation:
DOS(E_F): 0.240 states/eV per atom
final energy: -4.634 eV/atom
M_tot: 0.00 μB/cell

Cell: 5.6825 5.6825 9.1884 Å, 90.00 90.00 120.00°
Space group P-3m1 (No. 164)
One atom of each set of equivalent atoms:
Ag  0.0000  0.0000  0.0000 [1 per cell]
H  0.3333  0.6667  0.6298 [2 per cell]
Pd  0.0000  0.5000  0.5000 [3 per cell]
Pd  0.1676  0.3352  0.7595 [6 per cell]
Pb  0.0000  0.0000  0.5000 [1 per cell]
Pb  0.3333  0.6667  0.1770 [2 per cell]

=====

DFT (PBE) results for AgHPdPb2 after structural relaxation.

Values from the calculation:
DOS(E_F): 0.326 states/eV per atom
M_tot: 0.00 μB/cell
offset from the most stable computed form: 0 meV per atom

Cell: 5.370 5.370 3.418 Å, 90.00 90.00 90.00°
Space group P4/mmm (No. 123)
One atom of each set of equivalent atoms:
Ag  0.000  0.000  0.000 [1 per cell]
H  0.500  0.500  0.500 [1 per cell]
Pd  0.500  0.500  0.000 [1 per cell]
Pb  0.000  0.500  0.500 [2 per cell]

=====

DFT (PBE) results for AgH6Pt2Pb after structural relaxation.

Values from the calculation:
DOS(E_F): 0.252 states/eV per atom
final energy: -3.766 eV/atom
M_tot: 0.00 μB/cell

Cell: 8.235 9.327 5.981 Å, 90.00 109.21 90.00°
Space group C2/c (No. 15)
One atom of each set of equivalent atoms:
Ag  0.000  0.104  0.250 [4 per cell]
H  0.109  0.069  0.597 [8 per cell]
H  0.179  0.496  0.567 [8 per cell]
H  0.185  0.250  0.146 [8 per cell]
Pt  0.185  0.382  0.335 [8 per cell]
Pb  0.000  0.327  0.750 [4 per cell]

=====

DFT (PBE) results for Rb2Ag2H6Pb after structural relaxation.

Values from the calculation:
final energy: -2.807 eV/atom
M_tot: 0.00 μB/cell

Cell: 10.798 6.252 6.930 Å, 90.00 118.81 90.00°
Space group C2/m (No. 12)
One atom of each set of equivalent atoms:
Rb  0.219  0.000  0.163 [4 per cell]
Ag  0.079  0.500  0.245 [4 per cell]
H  0.003  0.251  0.751 [8 per cell]
H  0.244  0.000  0.719 [4 per cell]
Pb  0.000  0.000  0.500 [2 per cell]

=====

DFT (PBE) results for Rb2AgH6Pb after structural relaxation.

Values from the calculation:
DOS(E_F): 0.107 states/eV per atom
final energy: -2.792 eV/atom
M_tot: 0.00 μB/cell

Cell: 5.965 5.965 8.524 Å, 90.00 90.00 90.00°
Space group I4/mmm (No. 139)
One atom of each set of equivalent atoms:
Rb  0.000  0.500  0.250 [4 per cell]
Ag  0.000  0.000  0.000 [2 per cell]
H  0.000  0.000  0.234 [4 per cell]
H  0.230  0.230  0.000 [8 per cell]
Pb  0.000  0.000  0.500 [2 per cell]

=====

DFT (PBE) results for AgHRh2Pb after structural relaxation.

Values from the calculation:
DOS(E_F): 0.131 states/eV per atom
final energy: -4.879 eV/atom
M_tot: 0.00 μB/cell

Cell: 4.206 4.206 4.017 Å, 90.00 90.00 90.00°
Space group P4/mmm (No. 123)
One atom of each set of equivalent atoms:
Ag  0.000  0.000  0.000 [1 per cell]
H  0.000  0.000  0.500 [1 per cell]
Rh  0.000  0.500  0.500 [2 per cell]
Pb  0.500  0.500  0.000 [1 per cell]

=====

DFT (PBE) results for AgH6RhPb after structural relaxation.

Values from the calculation:
final energy: -3.687 eV/atom
M_tot: 0.00 μB/cell

Cell: 4.975 8.629 4.642 Å, 90.00 90.07 90.00°
Space group C2 (No. 5)
One atom of each set of equivalent atoms:
Ag  0.000  0.000  0.000 [2 per cell]
H  0.117  0.191  0.782 [4 per cell]
H  0.154  0.462  0.782 [4 per cell]
H  0.229  0.846  0.782 [4 per cell]
Rh  0.000  0.333  0.000 [2 per cell]
Pb  0.000  0.667  0.500 [2 per cell]

=====

DFT (PBE) results for Ag2HRhPb after structural relaxation.

Values from the calculation:
DOS(E_F): 0.409 states/eV per atom
final energy: -3.857 eV/atom
M_tot: 0.00 μB/cell

Cell: 4.706 4.706 3.580 Å, 90.00 90.00 90.00°
Space group P4/mmm (No. 123)
One atom of each set of equivalent atoms:
Ag  0.000  0.500  0.000 [2 per cell]
H  0.000  0.000  0.000 [1 per cell]
Rh  0.000  0.000  0.500 [1 per cell]
Pb  0.500  0.500  0.500 [1 per cell]

=====

DFT (PBE) results for AgSbHPb2 after structural relaxation.

Values from the calculation:
DOS(E_F): 0.334 states/eV per atom
M_tot: 0.00 μB/cell
offset from the most stable computed form: 0 meV per atom

Cell: 5.912 5.912 3.462 Å, 90.00 90.00 90.00°
Space group P4/mmm (No. 123)
One atom of each set of equivalent atoms:
Ag  0.000  0.000  0.000 [1 per cell]
Sb  0.500  0.500  0.500 [1 per cell]
H  0.000  0.000  0.500 [1 per cell]
Pb  0.000  0.500  0.000 [2 per cell]

=====

DFT (PBE) results for AgSbHPb2 after structural relaxation.

Values from the calculation:
DOS(E_F): 0.357 states/eV per atom
M_tot: 0.00 μB/cell
offset from the most stable computed form: 27 meV per atom

Cell: 5.188 5.188 4.245 Å, 90.00 90.00 90.00°
Space group P4/mmm (No. 123)
One atom of each set of equivalent atoms:
Ag  0.000  0.000  0.000 [1 per cell]
Sb  0.500  0.500  0.000 [1 per cell]
H  0.000  0.000  0.500 [1 per cell]
Pb  0.000  0.500  0.500 [2 per cell]

=====

DFT (PBE) results for Sc2AgHPb after structural relaxation.

Values from the calculation:
DOS(E_F): 0.396 states/eV per atom
final energy: -4.841 eV/atom
M_tot: 1.10 μB/cell

Cell: 4.525 4.525 4.314 Å, 90.00 90.00 90.00°
Space group P4/mmm (No. 123)
One atom of each set of equivalent atoms:
Sc  0.000  0.500  0.000 [2 per cell]
Ag  0.000  0.000  0.500 [1 per cell]
H  0.000  0.000  0.000 [1 per cell]
Pb  0.500  0.500  0.500 [1 per cell]

=====

DFT (PBE) results for Sr2AgHPb after structural relaxation.

Values from the calculation:
DOS(E_F): 0.502 states/eV per atom
final energy: -3.030 eV/atom
M_tot: 0.00 μB/cell

Cell: 5.641 5.641 4.054 Å, 90.00 90.00 90.00°
Space group P4/mmm (No. 123)
One atom of each set of equivalent atoms:
Sr  0.000  0.500  0.000 [2 per cell]
Ag  0.000  0.000  0.500 [1 per cell]
H  0.000  0.000  0.000 [1 per cell]
Pb  0.500  0.500  0.500 [1 per cell]

=====

DFT (PBE) results for TaAg2HPb after structural relaxation.

Values from the calculation:
DOS(E_F): 0.338 states/eV per atom
final energy: -4.516 eV/atom
M_tot: 0.00 μB/cell

Cell: 4.316 4.316 4.336 Å, 90.00 90.00 90.00°
Space group P4/mmm (No. 123)
One atom of each set of equivalent atoms:
Ta  0.000  0.000  0.000 [1 per cell]
Ag  0.000  0.500  0.500 [2 per cell]
H  0.000  0.000  0.500 [1 per cell]
Pb  0.500  0.500  0.000 [1 per cell]

=====

DFT (PBE) results for Ti2AgHPb after structural relaxation.

Values from the calculation:
DOS(E_F): 0.802 states/eV per atom
final energy: -5.210 eV/atom
M_tot: 0.00 μB/cell

Cell: 4.152 4.152 4.428 Å, 90.00 90.00 90.00°
Space group P4/mmm (No. 123)
One atom of each set of equivalent atoms:
Ti  0.000  0.500  0.000 [2 per cell]
Ag  0.000  0.000  0.500 [1 per cell]
H  0.000  0.000  0.000 [1 per cell]
Pb  0.500  0.500  0.500 [1 per cell]

=====

DFT (PBE) results for YAg2HPb after structural relaxation.

Values from the calculation:
DOS(E_F): 0.315 states/eV per atom
final energy: -4.024 eV/atom
M_tot: 0.00 μB/cell

Cell: 4.608 4.608 4.461 Å, 90.00 90.00 90.00°
Space group P4/mmm (No. 123)
One atom of each set of equivalent atoms:
Y  0.000  0.000  0.000 [1 per cell]
Ag  0.000  0.500  0.500 [2 per cell]
H  0.000  0.000  0.500 [1 per cell]
Pb  0.500  0.500  0.000 [1 per cell]

=====

DFT (PBE) results for Y2AgHPb after structural relaxation.

Values from the calculation:
DOS(E_F): 1.005 states/eV per atom
M_tot: 0.00 μB/cell
offset from the most stable computed form: 1215 meV per atom

Cell: 5.850 5.850 5.282 Å, 90.00 90.00 90.00°
Space group P4/mmm (No. 123)
One atom of each set of equivalent atoms:
Y  0.000  0.500  0.000 [2 per cell]
Ag  0.000  0.000  0.500 [1 per cell]
H  0.500  0.500  0.500 [1 per cell]
Pb  0.000  0.000  0.000 [1 per cell]